[1]
The following is a SCAN calculation of a PBEsol-optimized structure of ZrTl2Ir, from Alexandria.

Values from the calculation:
- Fermi-level density of states (states/eV/f.u.) = 2.3
- SG = P4/mmm
- formation energy from the elements (eV/atom) = 0.0701

POSCAR file:
```
ZrTl2Ir
1.0
4.2061 0.0000 0.0000
0.0000 4.2061 0.0000
0.0000 0.0000 4.4838
Zr Tl Ir
1 2 1
Cartesian
0.0000 0.0000 0.0000
0.0000 2.1031 2.2419
2.1031 0.0000 2.2419
2.1031 2.1031 0.0000
```

[2]
The following is a SCAN calculation of a PBEsol-optimized structure of Y3Ga8Ni3, from Alexandria.

Values from the calculation:
- Fermi-level density of states (states/eV/f.u.) = 6.1
- SG = Cm
- formation energy from the elements (eV/atom) = -0.6645

POSCAR file:
```
Y3Ga8Ni3
1.0
7.6655 -2.0449 0.0000
7.6655 2.0449 0.0000
-5.6741 0.0000 7.4986
Y Ga Ni
3 8 3
Cartesian
0.0000 0.0000 0.0000
3.0884 0.0000 2.4819
6.0300 0.0000 4.6395
-0.0095 0.0000 3.1746
-2.5892 0.0000 6.6590
0.2223 0.0000 6.0788
6.0295 0.0000 1.5311
3.0481 0.0000 5.5106
9.7499 0.0000 0.4513
12.3173 0.0000 0.2616
9.1666 0.0000 4.4357
8.3207 0.0000 2.2539
12.9505 0.0000 2.5588
11.5429 0.0000 4.5629
```